Entry from Alexandria via LeMat-Bulk: crystalline Zr2TaTl at its relaxed geometry (GGA-PBE).

ΔH_f (0 K): 2.30 eV/f.u.
energy above the lowest structure with this stoichiometry: 578 meV/atom
DFT total energy: -0.5332 Ry per atom

Lattice parameters (Å, degrees): 7.915 7.915 5.888 90.00 90.00 90.00
Fractional positions:
Zr  0.242  0.250  0.125
Zr  0.250  0.742  0.375
Zr  0.250  0.758  0.875
Zr  0.258  0.250  0.625
Zr  0.742  0.750  0.625
Zr  0.750  0.242  0.875
Zr  0.750  0.258  0.375
Zr  0.758  0.750  0.125
Ta  0.000  0.000  0.000
Ta  0.000  0.500  0.250
Ta  0.500  0.000  0.750
Ta  0.500  0.500  0.500
Tl  0.000  0.000  0.500
Tl  0.000  0.500  0.750
Tl  0.500  0.000  0.250
Tl  0.500  0.500  0.000

=====

Entry from Alexandria via LeMat-Bulk: crystalline In2Ag2Pb at its relaxed geometry (GGA-PBE).

ΔH_f (0 K): 0.33 eV/f.u.
energy above the lowest structure with this stoichiometry: 21 meV/atom
DFT total energy: -0.2141 Ry per atom

Lattice parameters (Å, degrees): 8.656 8.656 3.179 90.00 90.00 90.00
Fractional positions:
In  0.131  0.369  0.000
In  0.369  0.869  0.000
In  0.631  0.131  0.000
In  0.869  0.631  0.000
Ag  0.166  0.666  0.500
Ag  0.334  0.166  0.500
Ag  0.666  0.834  0.500
Ag  0.834  0.334  0.500
Pb  0.000  0.000  0.000
Pb  0.500  0.500  0.000

=====

Entry from Alexandria via LeMat-Bulk: crystalline BaHfScTl2 at its relaxed geometry (GGA-PBE).

ΔH_f (0 K): 4.04 eV/f.u.
DFT total energy: -0.2778 Ry per atom

Lattice parameters (Å, degrees): 5.623 5.623 5.821 90.00 90.00 90.00
Fractional positions:
Ba  0.000  0.000  0.000
Hf  0.000  0.000  0.500
Sc  0.500  0.500  0.000
Tl  0.000  0.500  0.500
Tl  0.500  0.000  0.500